# 1
Compound: ZrNi
Source: the Alexandria database
Functional: PBE
Structure: relaxed

```
data_ZrNi
_space_group_name_H-M_alt 'P 63 m c'
_space_group_IT_number 186
_space_group_name_Hall 'P 6c -2c'
_cell_length_a 3.1095
_cell_length_b 3.1095
_cell_length_c 8.8733
_cell_angle_alpha 90.00
_cell_angle_beta 90.00
_cell_angle_gamma 120.00
loop_
_atom_site_label
_atom_site_type_symbol
_atom_site_fract_x
_atom_site_fract_y
_atom_site_fract_z
Zr1 Zr 0.3333 0.6667 0.0000
Ni1 Ni 0.3333 0.6667 0.7133
```

Properties
magnetization: 0.00 Bohr magnetons per cell
ΔH_f (0 K): 0.2936 eV/atom
final energy: -6.871 eV per atom

# 2
Compound: CsZr6Te12
Source: the Alexandria database
Functional: PBE
Structure: relaxed

```
data_CsZr6Te12
_space_group_name_H-M_alt 'R -3 m'
_space_group_IT_number 166
_space_group_name_Hall '-R 3 2"'
_cell_length_a 14.1781
_cell_length_b 14.1781
_cell_length_c 10.0698
_cell_angle_alpha 90.00
_cell_angle_beta 90.00
_cell_angle_gamma 120.00
loop_
_atom_site_label
_atom_site_type_symbol
_atom_site_fract_x
_atom_site_fract_y
_atom_site_fract_z
Cs1 Cs 0.0000 0.0000 0.0000
Zr1 Zr 0.0686 0.5343 0.2592
Te1 Te 0.0000 0.3785 0.5000
Te2 Te 0.0883 0.1766 0.3309
```

Properties
magnetization: 0.01 Bohr magnetons per cell
final energy: -5.391 eV per atom
E_form (uncorrected): -663 meV/atom

# 3
Compound: Zr2InSnB
Source: the Alexandria database
Functional: PBE
Structure: relaxed

```
data_Zr2InSnB
_space_group_name_H-M_alt 'P 4/m m m'
_space_group_IT_number 123
_space_group_name_Hall '-P 4 2'
_cell_length_a 5.375
_cell_length_b 5.375
_cell_length_c 5.253
_cell_angle_alpha 90.00
_cell_angle_beta 90.00
_cell_angle_gamma 90.00
loop_
_atom_site_label
_atom_site_type_symbol
_atom_site_fract_x
_atom_site_fract_y
_atom_site_fract_z
Zr1 Zr 0.000 0.500 0.000
In1 In 0.000 0.000 0.500
Sn1 Sn 0.000 0.000 0.000
B1 B 0.500 0.500 0.500
```

Properties
magnetization: 0.00 Bohr magnetons per cell
ΔH_f (0 K): 1.7550 eV/atom
final energy: -4.348 eV per atom

# 4
Compound: Pr2MgRu2
Source: the Alexandria database
Functional: PBE
Structure: relaxed

```
data_Pr2MgRu2
_space_group_name_H-M_alt 'C 1 2/c 1'
_space_group_IT_number 15
_space_group_name_Hall '-C 2yc'
_cell_length_a 10.277
_cell_length_b 5.638
_cell_length_c 8.355
_cell_angle_alpha 90.00
_cell_angle_beta 106.67
_cell_angle_gamma 90.00
loop_
_atom_site_label
_atom_site_type_symbol
_atom_site_fract_x
_atom_site_fract_y
_atom_site_fract_z
Pr1 Pr 0.146 0.155 0.145
Mg1 Mg 0.000 0.374 0.750
Ru1 Ru 0.142 0.339 0.515
```

Properties
magnetization: 0.00 Bohr magnetons per cell
ΔH_f (0 K): -0.1372 eV/atom
final energy: -6.078 eV per atom

# 5
Compound: LiGeOs2
Source: the Alexandria database
Functional: PBE
Structure: relaxed

```
data_LiGeOs2
_space_group_name_H-M_alt 'I -4 2 d'
_space_group_IT_number 122
_space_group_name_Hall 'I -4 2bw'
_cell_length_a 7.562
_cell_length_b 7.562
_cell_length_c 4.646
_cell_angle_alpha 90.00
_cell_angle_beta 90.00
_cell_angle_gamma 90.00
loop_
_atom_site_label
_atom_site_type_symbol
_atom_site_fract_x
_atom_site_fract_y
_atom_site_fract_z
Li1 Li 0.000 0.000 0.000
Ge1 Ge 0.000 0.000 0.500
Os1 Os 0.185 0.250 0.625
```

Properties
magnetization: 0.00 Bohr magnetons per cell
ΔH_f (0 K): 0.6225 eV/atom
final energy: -6.625 eV per atom

# 6
Compound: PmEr2Pb2
Source: the Alexandria database
Functional: PBE
Structure: relaxed

```
data_PmEr2Pb2
_space_group_name_H-M_alt 'C 1 2/m 1'
_space_group_IT_number 12
_space_group_name_Hall '-C 2y'
_cell_length_a 6.540
_cell_length_b 6.553
_cell_length_c 7.845
_cell_angle_alpha 90.00
_cell_angle_beta 114.20
_cell_angle_gamma 90.00
loop_
_atom_site_label
_atom_site_type_symbol
_atom_site_fract_x
_atom_site_fract_y
_atom_site_fract_z
Pm1 Pm 0.000 0.000 0.000
Er1 Er 0.000 0.250 0.500
Pb1 Pb 0.106 0.500 0.205
```

Properties
magnetization: 0.09 Bohr magnetons per cell
ΔH_f (0 K): -0.2715 eV/atom
final energy: -4.530 eV per atom

# 7
Compound: ScTaCl
Source: the Alexandria database
Functional: PBE
Structure: relaxed

```
data_ScTaCl
_space_group_name_H-M_alt 'F -4 3 m'
_space_group_IT_number 216
_space_group_name_Hall 'F -4 2 3'
_cell_length_a 6.739
_cell_length_b 6.739
_cell_length_c 6.739
_cell_angle_alpha 90.00
_cell_angle_beta 90.00
_cell_angle_gamma 90.00
loop_
_atom_site_label
_atom_site_type_symbol
_atom_site_fract_x
_atom_site_fract_y
_atom_site_fract_z
Sc1 Sc 0.000 0.000 0.000
Ta1 Ta 0.250 0.250 0.250
Cl1 Cl 0.250 0.250 0.750
```

Properties
offset from the most stable computed form: 1.520 eV per atom
magnetization: 13.91 Bohr magnetons per cell
final energy: -5.502 eV per atom
E_form (uncorrected): 1175 meV/atom

# 8
Compound: Tb6Dy2Y3Tl
Source: the Alexandria database
Functional: PBE
Structure: relaxed

```
data_Tb6Dy2Y3Tl
_space_group_name_H-M_alt 'C 1 2/m 1'
_space_group_IT_number 12
_space_group_name_Hall '-C 2y'
_cell_length_a 6.121
_cell_length_b 10.615
_cell_length_c 11.671
_cell_angle_alpha 90.00
_cell_angle_beta 100.16
_cell_angle_gamma 90.00
loop_
_atom_site_label
_atom_site_type_symbol
_atom_site_fract_x
_atom_site_fract_y
_atom_site_fract_z
Tb1 Tb 0.246 0.165 0.247
Tb2 Tb 0.248 0.000 0.752
Dy1 Dy 0.000 0.334 0.000
Y1 Y 0.000 0.167 0.500
Y2 Y 0.000 0.500 0.500
Tl1 Tl 0.000 0.000 0.000
```

Properties
magnetization: 0.00 Bohr magnetons per cell
ΔH_f (0 K): -0.0129 eV/atom
final energy: -4.908 eV per atom

# 9
Compound: ZrReSi2
Source: the Alexandria database
Functional: PBE
Structure: relaxed

```
data_ZrReSi2
_space_group_name_H-M_alt 'C m m 2'
_space_group_IT_number 35
_space_group_name_Hall 'C 2 -2'
_cell_length_a 3.382
_cell_length_b 4.498
_cell_length_c 8.510
_cell_angle_alpha 90.00
_cell_angle_beta 90.00
_cell_angle_gamma 90.00
loop_
_atom_site_label
_atom_site_type_symbol
_atom_site_fract_x
_atom_site_fract_y
_atom_site_fract_z
Zr1 Zr 0.000 0.000 0.000
Re1 Re 0.000 0.500 0.726
Si1 Si 0.000 0.000 0.506
Si2 Si 0.000 0.500 0.258
```

Properties
magnetization: 0.00 Bohr magnetons per cell
final energy: -7.774 eV per atom
E_form (uncorrected): 187 meV/atom

# 10
Compound: CaCuAg2
Source: the Alexandria database
Functional: PBE
Structure: relaxed

```
data_CaCuAg2
_space_group_name_H-M_alt 'P 4/m m m'
_space_group_IT_number 123
_space_group_name_Hall '-P 4 2'
_cell_length_a 4.237
_cell_length_b 4.237
_cell_length_c 4.448
_cell_angle_alpha 90.00
_cell_angle_beta 90.00
_cell_angle_gamma 90.00
loop_
_atom_site_label
_atom_site_type_symbol
_atom_site_fract_x
_atom_site_fract_y
_atom_site_fract_z
Ca1 Ca 0.000 0.000 0.000
Cu1 Cu 0.500 0.500 0.000
Ag1 Ag 0.000 0.500 0.500
```

Properties
offset from the most stable computed form: 0.087 eV per atom
magnetization: 0.00 Bohr magnetons per cell
ΔH_f (0 K): -0.0172 eV/atom
final energy: -2.967 eV per atom